The following is a DFT calculation (PBE) of a geometry-optimized CeErTh structure.

a = 8.8237 Å, b = 8.8237 Å, c = 8.8237 Å
α = 22.92°, β = 22.92°, γ = 22.92°
Last column: nearest neighbours and their distance in Å.
Fractional coordinates of all 3 atoms:
Ce  0.7765  0.7765  0.7765  3 Er 3.49, 3 Th 3.50, 6 Ce 3.51
Er  0.9996  0.9996  0.9996  3 Ce 3.49, 6 Er 3.51, 3 Th 3.53
Th  0.5540  0.5540  0.5540  3 Ce 3.50, 6 Th 3.51, 3 Er 3.53

Summary:
formation enthalpy at 0 K = 0.063 eV/atom
electronic total energy = -0.434 Ry/atom
excess energy over the best structure of this formula in the dataset = 17 meV per atom
spin magnetization = 0.2 μB per cell